The following is a DFT calculation (PBE) of a relaxed TlBi2Pb9 crystal.

## Properties
* formation energy: 0.020 eV/atom
* M_tot: 0.000 μB per atom
* raw total energy: -3.605 eV per atom
* SG: P4/mmm, No. 123

```
TlBi2Pb9
1.0
-4.044 3.827 2.177
-1.946 -4.205 3.778
7.070 3.306 7.322
Tl Bi Pb
1 2 9
Cartesian
0.000 0.000 0.000 Tl
2.287 1.069 2.368 Bi
4.784 2.237 4.954 Bi
-2.995 -0.189 2.977 Pb
-0.615 0.924 5.442 Pb
1.696 2.004 7.835 Pb
-0.811 2.480 2.343 Pb
1.513 3.567 4.750 Pb
3.837 4.653 7.157 Pb
0.238 -1.536 3.143 Pb
2.562 -0.449 5.550 Pb
4.886 0.637 7.957 Pb
```

The following is a DFT calculation (PBE) of a relaxed La8CoPdPt2 crystal.

## Properties
* formation energy: -0.518 eV/atom
* M_tot: 0.000 μB per atom
* raw total energy: -5.834 eV per atom
* SG: P2/m, No. 10

```
La8CoPdPt2
1.0
6.729 -0.020 -0.004
0.026 6.936 -0.008
0.005 0.011 8.549
La Co Pd Pt
8 1 1 2
Cartesian
0.959 5.303 1.967 La
4.413 5.187 8.540 La
5.798 1.618 1.968 La
5.801 1.624 6.569 La
2.347 1.740 -0.003 La
0.962 5.309 6.568 La
4.274 5.188 4.266 La
2.486 1.738 4.271 La
0.000 0.000 0.000 Co
0.003 0.005 4.275 Pd
3.381 3.466 6.409 Pt
3.379 3.461 2.128 Pt
```

The following is a DFT calculation (PBE) of a relaxed LaCrTe2 crystal.

## Properties
* energy relative to the elements, uncorrected: -0.187 eV per atom
* M_tot: 1.245 μB per atom
* raw total energy: -5.395 eV per atom
* energy above the most stable polymorph in this dataset: 0.5962 eV/atom
* SG: F-43m, No. 216

```
LaCrTe2
1.0
5.408 0.000 0.000
2.704 4.684 0.000
2.704 1.561 4.416
Cr La Te
1 1 2
Cartesian
5.408 3.122 2.208 Cr
8.112 4.684 3.312 La
0.000 0.000 0.000 Te
2.704 1.561 1.104 Te
```